# 1
{
  "formula": "MnFeCoSb",
  "functional": "GGA-PBE",
  "state": "relaxed",
  "lattice": [[4.219, 0.000, 0.000], [2.110, 3.654, 0.000], [2.110, 1.218, 3.445]],
  "species": ["Sb", "Mn", "Co", "Fe"],
  "frac_coords": [[0.000, 0.000, 0.000], [0.500, 0.500, 0.500], [0.750, 0.750, 0.750], [0.250, 0.250, 0.250]],
  "formation_energy_uncorrected_ev_per_atom": -0.017
}

# 2
{
  "formula": "MnFe2CoSe6",
  "functional": "GGA-PBE",
  "state": "relaxed",
  "lattice": [[6.256, -0.275, -0.286], [1.577, 7.921, 0.438], [1.577, 0.144, 7.932]],
  "species": ["Mn", "Mn", "Fe", "Fe", "Fe", "Fe", "Co", "Co", "Se", "Se", "Se", "Se", "Se", "Se", "Se", "Se", "Se", "Se", "Se", "Se"],
  "frac_coords": [[0.250, 0.910, 0.090], [0.750, 0.090, 0.910], [0.184, 0.778, 0.600], [0.316, 0.400, 0.222], [0.816, 0.222, 0.400], [0.684, 0.600, 0.778], [0.250, 0.263, 0.737], [0.750, 0.737, 0.263], [0.133, 0.983, 0.796], [0.367, 0.204, 0.017], [0.867, 0.017, 0.204], [0.633, 0.796, 0.983], [0.396, 0.885, 0.363], [0.104, 0.637, 0.115], [0.604, 0.115, 0.637], [0.896, 0.363, 0.885], [0.878, 0.691, 0.527], [0.622, 0.473, 0.309], [0.122, 0.309, 0.473], [0.378, 0.527, 0.691]],
  "formation_energy_uncorrected_ev_per_atom": -0.174
}

# 3
{
  "formula": "MnFeCo2Si",
  "functional": "GGA-PBE",
  "state": "relaxed",
  "lattice": [[-2.730, 0.660, -2.971], [2.943, -0.811, -2.884], [-1.027, -3.956, 0.065]],
  "species": ["Si", "Mn", "Co", "Co", "Fe"],
  "frac_coords": [[0.000, 0.000, 0.000], [0.500, 0.500, 0.500], [0.000, 0.000, 0.500], [0.500, 0.000, 0.000], [0.000, 0.500, 0.000]],
  "formation_energy_uncorrected_ev_per_atom": 0.987
}

# 4
{
  "formula": "Sm2MnFe2Co5",
  "functional": "GGA-PBE",
  "state": "relaxed",
  "lattice": [[-1.531, 1.280, -2.640], [-1.021, -8.762, -3.657], [-8.404, -0.877, 4.449]],
  "species": ["Sm", "Sm", "Sm", "Sm", "Mn", "Mn", "Fe", "Fe", "Fe", "Fe", "Co", "Co", "Co", "Co", "Co", "Co", "Co", "Co", "Co", "Co"],
  "frac_coords": [[0.000, 0.679, 0.179], [0.000, 0.321, 0.821], [0.000, 0.179, 0.321], [0.000, 0.821, 0.679], [0.000, 0.000, 0.000], [0.000, 0.500, 0.500], [0.000, 0.122, 0.622], [0.000, 0.878, 0.378], [0.000, 0.622, 0.878], [0.000, 0.378, 0.122], [0.500, 0.204, 0.059], [0.500, 0.796, 0.941], [0.500, 0.059, 0.796], [0.500, 0.704, 0.441], [0.500, 0.941, 0.204], [0.500, 0.296, 0.559], [0.500, 0.559, 0.704], [0.500, 0.441, 0.296], [0.500, 0.500, 0.000], [0.500, 0.000, 0.500]],
  "formation_energy_mev_per_atom": 109.5
}

# 5
{
  "formula": "SrMnFeCo2",
  "functional": "GGA-PBE",
  "state": "relaxed",
  "lattice": [[-0.766, 4.518, 0.612], [-2.291, -0.902, 3.795], [3.912, 0.333, 2.441]],
  "species": ["Sr", "Mn", "Co", "Co", "Fe"],
  "frac_coords": [[0.000, 0.000, 0.000], [0.500, 0.500, 0.500], [0.000, 0.000, 0.500], [0.500, 0.000, 0.000], [0.000, 0.500, 0.000]],
  "formation_energy_mev_per_atom": 2359.4
}

# 6
{
  "formula": "Tb2MnFe2Co5",
  "functional": "GGA-PBE",
  "state": "relaxed",
  "lattice": [[-2.907, 1.592, -0.182], [-0.864, -0.507, 9.372], [4.467, 8.255, 0.859]],
  "species": ["Tb", "Tb", "Tb", "Tb", "Mn", "Mn", "Fe", "Fe", "Fe", "Fe", "Co", "Co", "Co", "Co", "Co", "Co", "Co", "Co", "Co", "Co"],
  "frac_coords": [[0.000, 0.678, 0.178], [0.000, 0.322, 0.822], [0.000, 0.178, 0.322], [0.000, 0.822, 0.678], [0.000, 0.000, 0.000], [0.000, 0.500, 0.500], [0.000, 0.122, 0.622], [0.000, 0.878, 0.378], [0.000, 0.622, 0.878], [0.000, 0.378, 0.122], [0.500, 0.204, 0.060], [0.500, 0.796, 0.940], [0.500, 0.060, 0.796], [0.500, 0.704, 0.440], [0.500, 0.940, 0.204], [0.500, 0.296, 0.560], [0.500, 0.560, 0.704], [0.500, 0.440, 0.296], [0.500, 0.500, 0.000], [0.500, 0.000, 0.500]],
  "formation_energy_mev_per_atom": 46.5
}

# 7
{
  "formula": "MnFeCoTc2",
  "functional": "GGA-PBE",
  "state": "relaxed",
  "lattice": [[4.324, 0.000, 0.000], [0.000, 4.134, 0.000], [0.000, 0.000, 4.324]],
  "species": ["Mn", "Co", "Tc", "Tc", "Fe"],
  "frac_coords": [[0.000, 0.000, 0.000], [0.000, 0.500, 0.000], [0.000, 0.000, 0.500], [0.500, 0.000, 0.000], [0.500, 0.500, 0.500]],
  "formation_energy_mev_per_atom": 1511.1
}

# 8
{
  "formula": "Zr2MnFeCo",
  "functional": "GGA-PBE",
  "state": "relaxed",
  "lattice": [[-3.778, -2.625, 1.390], [2.186, -1.625, 2.872], [-1.334, 3.509, 3.001]],
  "species": ["Mn", "Co", "Fe", "Zr", "Zr"],
  "frac_coords": [[0.000, 0.500, 0.000], [0.500, 0.500, 0.500], [0.000, 0.000, 0.000], [0.000, 0.000, 0.500], [0.500, 0.000, 0.000]],
  "formation_energy_mev_per_atom": 710.7
}

# 9
{
  "formula": "Fe2CoMo2",
  "functional": "GGA-PBE",
  "state": "relaxed",
  "lattice": [[-3.462, 4.763, 3.222], [0.692, -3.388, 5.753], [2.450, 1.416, 0.539]],
  "species": ["Mo", "Mo", "Mo", "Mo", "Co", "Co", "Fe", "Fe", "Fe", "Fe"],
  "frac_coords": [[0.172, 0.672, 0.500], [0.672, 0.828, 0.500], [0.828, 0.328, 0.500], [0.328, 0.172, 0.500], [0.000, 0.000, 0.000], [0.500, 0.500, 0.000], [0.369, 0.869, 0.000], [0.869, 0.631, 0.000], [0.631, 0.131, 0.000], [0.131, 0.369, 0.000]],
  "formation_energy_mev_per_atom": 253.2
}

# 10
{
  "formula": "Fe2CoMo",
  "functional": "GGA-PBE",
  "state": "relaxed",
  "lattice": [[4.489, -0.013, 0.000], [1.587, 4.200, 0.000], [-3.038, -2.093, 2.558]],
  "species": ["Co", "Fe", "Fe", "Mo"],
  "frac_coords": [[0.750, 0.250, 0.500], [0.000, 0.000, 0.000], [0.500, 0.500, 0.000], [0.250, 0.750, 0.500]],
  "formation_energy_mev_per_atom": 81.2
}

# 11
{
  "formula": "Fe2CoMo",
  "functional": "GGA-PBE",
  "state": "relaxed",
  "lattice": [[4.422, 0.006, -0.010], [3.666, 2.474, -0.010], [0.748, 0.229, 4.408]],
  "species": ["Co", "Fe", "Fe", "Mo"],
  "frac_coords": [[0.255, 0.255, 0.242], [0.000, 0.000, 0.992], [0.744, 0.744, 0.778], [0.501, 0.501, 0.489]],
  "formation_energy_mev_per_atom": 185.0
}

# 12
{
  "formula": "Fe2CoMo",
  "functional": "GGA-PBE",
  "state": "relaxed",
  "lattice": [[4.107, 0.000, 0.000], [0.000, 2.558, 0.008], [0.000, 0.938, 4.786]],
  "species": ["Co", "Fe", "Fe", "Mo"],
  "frac_coords": [[0.500, 0.767, 0.761], [0.000, 0.003, 0.000], [0.500, 0.238, 0.239], [0.000, 0.492, 0.500]],
  "formation_energy_mev_per_atom": 106.0
}